Hf3BeBr: optimized geometry, PBE.

POSCAR file:
```
Hf3BeBr
1.0
4.7508 0.0000 0.0000
0.0000 4.7508 0.0000
0.0000 0.0000 4.7508
Hf Be Br
3 1 1
direct
0.0000 0.0000 0.5000
0.0000 0.5000 0.0000
0.5000 0.0000 0.0000
0.0000 0.0000 0.0000
0.5000 0.5000 0.5000
```

Summary:
DOS(E_F) = 5.418 states/eV per cell
Electronic total energy = -32.6 eV for the cell shown
Space-group type = No. 221
Volume = 107.23 Å³ per cell
Formation energy without anion corrections = 0.541 eV/atom